Record 1
YHoTh2: optimized geometry, PBE.

Values from the calculation:
E above lowest polymorph   614 meV/atom

a = 9.6885 Å, b = 9.6885 Å, c = 3.5144 Å
α = 90.89°, β = 90.89°, γ = 75.29°
Fractional positions:
Y: 0.0000 0.5000 0.0000
Y: 0.5000 0.0000 0.5000
Ho: 0.1383 0.8617 0.2500
Ho: 0.8617 0.1383 0.7500
Th: 0.2878 0.5225 0.5241
Th: 0.4775 0.7122 0.9759
Th: 0.5225 0.2878 0.0241
Th: 0.7122 0.4775 0.4759



Record 2
Mg3VS: optimized geometry, PBE.

Values from the calculation:
Raw formation energy   990 meV/atom
E above lowest polymorph   743 meV/atom

a = 5.1969 Å, b = 5.1969 Å, c = 5.1969 Å
α = 90.00°, β = 90.00°, γ = 90.00°
Fractional positions:
Mg: 0.0000 0.0000 0.5000
Mg: 0.0000 0.5000 0.0000
Mg: 0.5000 0.0000 0.0000
V: 0.0000 0.0000 0.0000
S: 0.5000 0.5000 0.5000



Record 3
YTaP2Ir: optimized geometry, PBE.

a = 4.5955 Å, b = 4.5955 Å, c = 5.1917 Å
α = 90.00°, β = 90.00°, γ = 90.00°
Fractional positions:
Y: 0.0000 0.0000 0.0000
Ta: 0.5000 0.5000 0.0000
P: 0.0000 0.5000 0.5000
P: 0.5000 0.0000 0.5000
Ir: 0.0000 0.0000 0.5000



Record 4
CsHoNpO6: optimized geometry, PBE.

Values from the calculation:
Raw formation energy   -2505 meV/atom

a = 5.8710 Å, b = 5.8710 Å, c = 6.4682 Å
α = 90.00°, β = 90.00°, γ = 120.00°
Fractional positions:
Cs: 0.0000 0.0000 0.0000
Ho: 0.3333 0.6667 0.5000
Np: 0.6667 0.3333 0.5000
O: 0.4037 0.0322 0.6716
O: 0.4037 0.3716 0.3284
O: 0.6284 0.0322 0.3284
O: 0.6284 0.5963 0.6716
O: 0.9678 0.3716 0.6716
O: 0.9678 0.5963 0.3284



Record 5
K2ZnBO4: optimized geometry, PBE.

Values from the calculation:
Raw formation energy   -1569 meV/atom

a = 11.4786 Å, b = 10.3444 Å, c = 6.0153 Å
α = 84.73°, β = 63.82°, γ = 31.46°
Fractional positions:
K: 0.0509 0.0509 0.6991
K: 0.3009 0.3009 0.9491
K: 0.6991 0.6991 0.0509
K: 0.9491 0.9491 0.3009
Zn: 0.1250 0.1250 0.1250
Zn: 0.8750 0.8750 0.8750
B: 0.3750 0.3750 0.3750
B: 0.6250 0.6250 0.6250
O: 0.0688 0.5981 0.5235
O: 0.3096 0.5235 0.5981
O: 0.4019 0.9312 0.6904
O: 0.4765 0.6904 0.9312
O: 0.5235 0.3096 0.0688
O: 0.5981 0.0688 0.3096
O: 0.6904 0.4765 0.4019
O: 0.9312 0.4019 0.4765



Record-wise DFT total energy values, in eV per atom: -5.83, -2.62, -6.84, -7.85, -5.32
Record-wise V values, in A^3/atom: 39.88, 28.07, 21.93, 21.45, 16.60
Record-wise mass density values, in g/cm3: 7.47, 1.84, 7.94, 5.43, 2.73